Entry 1:
First-principles (GGA-PBE) data for a relaxed Pr6Ge3S14 crystal, as listed in Alexandria.

Summary:
As for the raw formation energy: -1.4753 eV/atom. Its raw total energy is -134.25 eV/cell. The value obtained for the total magnetic moment is 0.0 Bohr magnetons per cell. The symmetry is P3 (143). Its volume is 540.8 Å³ per cell. Its crystal system is trigonal. The density comes out at 4.64 g cm⁻³.

The structure in POSCAR format:
```
Pr6Ge3S14
1.0
10.359 0.000 0.000
-5.179 8.971 0.000
0.000 0.000 5.820
Pr Ge S
6 3 14
Cartesian
-2.679 5.086 0.000
2.688 0.895 2.956
2.114 4.107 0.000
0.565 8.748 0.000
4.610 6.196 2.956
8.240 1.880 2.956
0.000 0.000 5.384
0.000 5.980 2.423
5.179 2.990 1.547
0.000 0.000 1.758
-3.609 7.641 4.470
0.367 2.025 4.470
-0.366 3.952 1.524
-1.573 7.311 1.524
0.000 5.980 4.622
3.402 1.515 0.147
2.985 3.774 2.982
1.939 6.678 1.524
5.598 0.698 2.982
4.790 5.267 0.147
3.242 8.276 4.470
7.345 2.189 0.147
6.955 4.499 2.982
```

***

Entry 2:
First-principles (GGA-PBE) data for a relaxed Co3CuIr crystal, as listed in Alexandria.

Summary:
For the formation energy, the calculation gives 1.39 eV/atom. Its raw total energy is -27.32 eV/cell. The value obtained for the total magnetic moment is 6.6 Bohr magnetons per cell. The density of states at the Fermi level is 1.402 states/eV per atom. The symmetry is Pm-3m (221). Its volume is 73.7 Å³ per cell. Its crystal system is cubic. The density comes out at 9.75 g cm⁻³.

The structure in POSCAR format:
```
Co3CuIr
1.0
4.192 0.000 0.000
0.000 4.192 0.000
0.000 0.000 4.192
Co Cu Ir
3 1 1
Cartesian
0.000 0.000 2.096
0.000 2.096 0.000
2.096 0.000 0.000
0.000 0.000 0.000
2.096 2.096 2.096
```

***

Entry 3:
First-principles (GGA-PBE) data for a relaxed Pr2Ho5Tm4 crystal, as listed in Alexandria.

Summary:
For the formation energy, the calculation gives 0.02 eV/atom. Its raw total energy is -50.06 eV/cell. The value obtained for the total magnetic moment is 0.0 Bohr magnetons per cell. The density of states at the Fermi level is 1.364 states/eV per atom. The symmetry is C2/m (12). Its volume is 346.3 Å³ per cell. Its crystal system is monoclinic. The density comes out at 8.54 g cm⁻³.

The structure in POSCAR format:
```
Pr2Ho5Tm4
1.0
11.614 -1.775 0.000
11.614 1.775 0.000
-2.183 0.000 8.401
Pr Ho Tm
2 5 4
Cartesian
1.609 0.000 1.900
19.436 0.000 6.500
-1.091 0.000 4.200
4.822 0.000 5.742
7.542 0.000 3.416
13.504 0.000 4.985
16.224 0.000 2.658
2.158 0.000 8.009
10.209 0.000 1.171
10.836 0.000 7.230
18.887 0.000 0.392
```

***

Entry 4:
First-principles (GGA-PBE) data for a relaxed Ca2BiRuN crystal, as listed in Alexandria.

Summary:
As for the raw formation energy: -0.5453 eV/atom. Its raw total energy is -28.21 eV/cell. The value obtained for the total magnetic moment is 0.0 Bohr magnetons per cell. The density of states at the Fermi level is 0.400 states/eV per atom. The symmetry is P4/mmm (123). Its volume is 103.5 Å³ per cell. Its crystal system is tetragonal. The density comes out at 6.48 g cm⁻³.

The structure in POSCAR format:
```
Ca2BiRuN
1.0
5.157 0.000 0.000
0.000 5.157 0.000
0.000 0.000 3.892
Ca Bi Ru N
2 1 1 1
Cartesian
0.000 2.579 0.000
2.579 0.000 0.000
0.000 0.000 1.946
2.579 2.579 1.946
2.579 2.579 0.000
```

***

Entry 5:
First-principles (GGA-PBE) data for a relaxed SmDySc2P4 crystal, as listed in Alexandria.

Summary:
For the formation energy, the calculation gives -1.52 eV/atom. Its raw total energy is -55.76 eV/cell. The value obtained for the total magnetic moment is 0.0 Bohr magnetons per cell. The density of states at the Fermi level is 0.115 states/eV per atom. The symmetry is P2/m (10). Its volume is 169.0 Å³ per cell. Its crystal system is monoclinic. The density comes out at 5.17 g cm⁻³.

The structure in POSCAR format:
```
SmDySc2P4
1.0
6.755 0.000 0.000
0.000 3.917 0.000
-2.271 0.000 6.389
Sm Dy Sc P
1 1 2 4
Cartesian
0.000 0.000 0.000
-1.135 1.958 3.195
2.242 0.000 3.195
3.378 1.958 0.000
0.096 0.000 4.810
1.231 1.958 1.658
3.253 1.958 4.731
4.389 0.000 1.579
```

***

Entry 6:
First-principles (GGA-PBE) data for a relaxed CoSe3S crystal, as listed in Alexandria.

Summary:
As for the raw formation energy: 0.6149 eV/atom. Its raw total energy is -18.61 eV/cell. The value obtained for the total magnetic moment is 0.5 Bohr magnetons per cell. The density of states at the Fermi level is 1.288 states/eV per atom. The symmetry is Pm-3m (221). Its volume is 99.4 Å³ per cell. Its crystal system is cubic. The density comes out at 5.48 g cm⁻³.

The structure in POSCAR format:
```
CoSe3S
1.0
4.632 0.000 0.000
0.000 4.632 0.000
0.000 0.000 4.632
Co Se S
1 3 1
Cartesian
0.000 0.000 0.000
0.000 0.000 2.316
0.000 2.316 0.000
2.316 0.000 0.000
2.316 2.316 2.316
```

***

Number 2 is which compound?
Co3CuIr